TaCr3: relaxed, PBE.

The value obtained for the density of states at the Fermi level is 1.79 states/eV/f.u. The value obtained for the volume is 160.3 Å³/cell. For the formation energy, the calculation gives 0.11 eV/atom.

It has space group R-3m (No. 166, hexagonal axes), with a = 8.3448 Å, b = 8.3448 Å, c = 2.6584 Å, α = 90.00°, β = 90.00° and γ = 120.00°. The asymmetric unit holds Ta at (0.0000, 0.0000, 0.0000) and Cr at (0.0000, 0.5000, 0.0000).